Record 1
Here is an optimized crystal structure of NbAgO3 from the Open Quantum Materials Database. Energies are from PBE-GGA.

Results
total energy = -7.28 eV/atom
total moment = 0.0 Bohr magnetons per cell

Cell lengths 7.8102, 10.8307, 6.1698 Å; angles 90.00, 90.00, 90.00 degrees
Space group Cmcm (No. 63)
Inequivalent atoms, fractional coordinates:
Nb  0.2500  0.2500  0.0000 [8 per cell]
Ag  0.0000  0.0006  0.2500 [4 per cell]
Ag  0.0000  0.4991  0.2500 [4 per cell]
O  0.0000  0.2403  0.0021 [8 per cell]
O  0.2420  0.3728  0.7500 [8 per cell]
O  0.2445  0.3730  0.2500 [8 per cell]

Record 2
Here is an optimized crystal structure of Nb4Ag3PbO12 from the Open Quantum Materials Database. Energies are from PBE-GGA.

Results
total energy = -7.43 eV/atom
total moment = 0.0 Bohr magnetons per cell

Cell lengths 7.9285, 7.9285, 7.9285 Å; angles 90.00, 90.00, 90.00 degrees
Space group Im-3 (No. 204)
Inequivalent atoms, fractional coordinates:
Nb  0.2500  0.2500  0.2500 [8 per cell]
Ag  0.0000  0.0000  0.5000 [6 per cell]
Pb  0.0000  0.0000  0.0000 [2 per cell]
O  0.0000  0.2094  0.2788 [24 per cell]

Record 3
Here is an optimized crystal structure of RbNbAgO3 from the Open Quantum Materials Database. Energies are from PBE-GGA.

Results
total energy = -6.56 eV/atom
total moment = 0.4 Bohr magnetons per cell

Cell lengths 10.9132, 3.1352, 12.6073 Å; angles 90.00, 90.20, 90.00 degrees
Space group P2_1/m (No. 11)
Inequivalent atoms, fractional coordinates:
Rb  0.0924  0.2500  0.2541 [2 per cell]
Rb  0.4068  0.2500  0.7538 [2 per cell]
Nb  0.1347  0.7500  0.9633 [2 per cell]
Nb  0.3654  0.7500  0.4625 [2 per cell]
Ag  0.0940  0.2500  0.5294 [2 per cell]
Ag  0.4062  0.2500  0.0295 [2 per cell]
O  0.0194  0.2500  0.9129 [2 per cell]
O  0.2029  0.2500  0.0497 [2 per cell]
O  0.2268  0.7500  0.8455 [2 per cell]
O  0.2722  0.7500  0.3449 [2 per cell]
O  0.2976  0.2500  0.5490 [2 per cell]
O  0.4802  0.2500  0.4126 [2 per cell]